Compound: RbMn2CdI8
Source: Alexandria
Functional: GGA-PBE
Structure: relaxed

Calculated values
The value obtained for the density of states at the Fermi level is 0.771 states/eV/atom. Its space-group type is P-3. The total magnetic moment is 9.0 Bohr magnetons per cell. For the formation energy (no corrections), the calculation gives -0.569 eV per atom.

Unit cell a=7.4563 b=7.4563 c=10.4620 alpha=90.00 beta=90.00 gamma=120.00
With the nearest neighbours (Å) after each atom.
Atoms (fractional coordinates):
1 Rb 0.0000 0.0000 0.0000  12 I 4.18-4.31
2 Mn 0.6667 0.3333 0.2568  4 I 2.61-2.66
3 Mn 0.3333 0.6667 0.7432  4 I 2.61-2.66
4 Cd 0.0000 0.0000 0.5000  6 I 3.03
5 I 0.3333 0.6667 0.9925  1 Mn 2.61
6 I 0.3209 0.3289 0.3261  1 Mn 2.66
7 I 0.6711 0.9920 0.3261  1 Mn 2.66
8 I 0.6667 0.3333 0.0075  1 Mn 2.61
9 I 0.3289 0.0080 0.6739  1 Mn 2.66
10 I 0.6791 0.6711 0.6739  1 Mn 2.66
11 I 0.9920 0.3209 0.6739  1 Mn 2.66
12 I 0.0080 0.6791 0.3261  1 Mn 2.66